[1]
Entry from Alexandria via LeMat-Bulk: a PBEsol-optimized structure of CoP2Rh (meta-GGA SCAN).

## Properties
D(E_F) in states/eV/f.u.: 2.1
Formation energy from the elements in eV per formula unit: -0.3

```
data_CoP2Rh
_chemical_formula_sum 'Co1 P2 Rh1'
_cell_length_a 2.753
_cell_length_b 2.753
_cell_length_c 7.152
_cell_angle_alpha 90.00
_cell_angle_beta 90.00
_cell_angle_gamma 90.00
_space_group_name_H-M_alt 'P 1'
_space_group_IT_number 1
_space_group_name_Hall 'P 1'
loop_
_atom_site_label
_atom_site_type_symbol
_atom_site_fract_x
_atom_site_fract_y
_atom_site_fract_z
_atom_site_occupancy
Rh1 Rh 0.000 0.000 0.497 1
P1 P 0.000 0.000 0.927 1
P2 P 0.500 0.500 0.307 1
Co1 Co 0.500 0.500 0.769 1
```

---

[2]
Entry from Alexandria via LeMat-Bulk: a PBEsol-optimized structure of Na3SmTi2Nb2O12 (meta-GGA SCAN).

## Properties
Energy relative to the elements, uncorrected in eV/atom: -2.9775
D(E_F) in states/eV/f.u.: 0.0

```
data_Na3SmTi2Nb2O12
_chemical_formula_sum 'Na3 Sm1 Ti2 Nb2 O12'
_cell_length_a 5.426
_cell_length_b 5.522
_cell_length_c 7.740
_cell_angle_alpha 89.99
_cell_angle_beta 89.95
_cell_angle_gamma 89.63
_space_group_name_H-M_alt 'P 1'
_space_group_IT_number 1
_space_group_name_Hall 'P 1'
loop_
_atom_site_label
_atom_site_type_symbol
_atom_site_fract_x
_atom_site_fract_y
_atom_site_fract_z
_atom_site_occupancy
O1 O 0.198 0.804 0.520 1
O2 O 0.298 0.296 0.962 1
Ti1 Ti 0.494 0.985 0.006 1
Ti2 Ti 0.007 0.481 0.497 1
O3 O 0.796 0.210 0.043 1
Na1 Na 0.996 0.002 0.752 1
O4 O 0.799 0.214 0.457 1
O5 O 0.720 0.729 0.450 1
O6 O 0.928 0.502 0.746 1
O7 O 0.561 0.981 0.754 1
Nb1 Nb 0.496 0.993 0.511 1
O8 O 0.070 0.522 0.252 1
O9 O 0.291 0.303 0.535 1
O10 O 0.203 0.806 0.981 1
Na2 Na 0.501 0.519 0.748 1
O11 O 0.417 0.030 0.247 1
Nb2 Nb 0.006 0.482 0.989 1
O12 O 0.717 0.731 0.049 1
Sm1 Sm 0.992 0.946 0.250 1
Na3 Na 0.510 0.463 0.250 1
```